Record 1
! Na5Ag PBE-GGA relaxed; values from VASP
! - energy above the lowest structure with this stoichiometry (meV per atom) = 0.0
! - calculated density (g/cm³) = 1.9
! - total energy (eV per atom) = -1.57
! - ΔH_f (0 K) (eV per atom) = 0.0094
&SYSTEM
  ibrav = 0, nat = 12, ntyp = 2
/
ATOMIC_SPECIES
Na 22.99 Na.upf
Ag 107.87 Ag.upf
CELL_PARAMETERS angstrom
-4.044 -1.026 1.166
1.308 -8.141 -2.622
3.422 -2.550 9.625
ATOMIC_POSITIONS crystal
Na 0.000 0.422 0.250
Na 0.000 0.578 0.750
Na 0.000 0.000 0.000
Na 0.000 0.000 0.500
Na 0.500 0.068 0.250
Na 0.500 0.932 0.750
Na 0.500 0.685 0.065
Na 0.500 0.315 0.935
Na 0.500 0.685 0.435
Na 0.500 0.315 0.565
Ag 0.000 0.802 0.250
Ag 0.000 0.198 0.750

Record 2
! PuIn2Au2 PBE-GGA relaxed; values from VASP
! - energy above the lowest structure with this stoichiometry (meV per atom) = 23.1
! - calculated density (g/cm³) = 12.5
! - total energy (eV per atom) = -5.53
! - ΔH_f (0 K) (eV per atom) = -0.2541
&SYSTEM
  ibrav = 0, nat = 5, ntyp = 3
/
ATOMIC_SPECIES
Pu 244.00 Pu.upf
In 114.82 In.upf
Au 196.97 Au.upf
CELL_PARAMETERS angstrom
-4.474 -1.642 -2.620
2.062 -4.422 -2.401
-2.581 -6.074 -0.092
ATOMIC_POSITIONS crystal
Pu 0.000 0.000 0.000
In 0.201 0.799 0.500
In 0.799 0.201 0.500
Au 0.500 0.500 0.790
Au 0.500 0.500 0.210

Record 3
! Pm3AuC PBE-GGA relaxed; values from VASP
! - energy above the lowest structure with this stoichiometry (meV per atom) = 142.8
! - calculated density (g/cm³) = 8.5
! - total energy (eV per atom) = -5.60
! - ΔH_f (0 K) (eV per atom) = -0.2539
&SYSTEM
  ibrav = 0, nat = 5, ntyp = 3
/
ATOMIC_SPECIES
C 12.01 C.upf
Au 196.97 Au.upf
Pm 145.00 Pm.upf
CELL_PARAMETERS angstrom
-3.171 -2.640 2.840
3.862 -2.485 2.001
0.354 3.456 3.608
ATOMIC_POSITIONS crystal
C 0.000 0.000 0.000
Au 0.500 0.500 0.500
Pm 0.000 0.500 0.000
Pm 0.000 0.000 0.500
Pm 0.500 0.000 0.000

Record 4
! YLuPd2 PBE-GGA relaxed; values from VASP
! - energy above the lowest structure with this stoichiometry (meV per atom) = 180.1
! - calculated density (g/cm³) = 8.4
! - total energy (eV per atom) = -6.08
! - ΔH_f (0 K) (eV per atom) = -0.7399
&SYSTEM
  ibrav = 0, nat = 4, ntyp = 3
/
ATOMIC_SPECIES
Y 88.91 Y.upf
Lu 174.97 Lu.upf
Pd 106.42 Pd.upf
CELL_PARAMETERS angstrom
-1.778 0.638 -3.611
-3.106 -2.357 -1.186
-5.831 3.557 1.200
ATOMIC_POSITIONS crystal
Y 0.000 0.000 0.000
Lu 0.500 0.500 0.500
Pd 0.755 0.755 0.736
Pd 0.245 0.245 0.264

What did the fourth record say?
! YLuPd2 PBE-GGA relaxed; values from VASP
! - energy above the lowest structure with this stoichiometry (meV per atom) = 180.1
! - calculated density (g/cm³) = 8.4
! - total energy (eV per atom) = -6.08
! - ΔH_f (0 K) (eV per atom) = -0.7399
&SYSTEM
  ibrav = 0, nat = 4, ntyp = 3
/
ATOMIC_SPECIES
Y 88.91 Y.upf
Lu 174.97 Lu.upf
Pd 106.42 Pd.upf
CELL_PARAMETERS angstrom
-1.778 0.638 -3.611
-3.106 -2.357 -1.186
-5.831 3.557 1.200
ATOMIC_POSITIONS crystal
Y 0.000 0.000 0.000
Lu 0.500 0.500 0.500
Pd 0.755 0.755 0.736
Pd 0.245 0.245 0.264